1.
{"formula": "NaPr2I6", "functional": "PBE", "state": "optimized geometry", "lattice": [[3.8684, 2.2334, 7.9914], [-3.8684, 2.2334, 7.9914], [0.0000, -4.4668, 7.9914]], "species": ["Na", "Pr", "Pr", "I", "I", "I", "I", "I", "I"], "fractional_positions": [[0.0000, 0.0000, 0.0000], [0.1706, 0.1706, 0.1706], [0.8294, 0.8294, 0.8294], [0.0896, 0.7616, 0.4111], [0.2384, 0.5889, 0.9104], [0.4111, 0.0896, 0.7616], [0.5889, 0.9104, 0.2384], [0.7616, 0.4111, 0.0896], [0.9104, 0.2384, 0.5889]]}



2.
{"formula": "NaPrI2", "functional": "PBE", "state": "optimized geometry", "lattice": [[2.0811, 1.2015, 8.8183], [-2.0811, 1.2015, 8.8183], [0.0000, -2.4031, 8.8183]], "species": ["Na", "Pr", "I", "I"], "fractional_positions": [[0.0000, 0.0000, 0.0000], [0.8334, 0.8334, 0.8334], [0.4136, 0.4136, 0.4136], [0.5862, 0.5862, 0.5862]]}



3.
{"formula": "NaPrI4", "functional": "PBE", "state": "optimized geometry", "lattice": [[7.6340, 0.0000, 0.0000], [0.0000, 4.6138, 0.0000], [-0.4549, 0.0000, 8.0864]], "species": ["Na", "Pr", "I", "I", "I", "I"], "fractional_positions": [[0.0000, 0.0000, 0.0000], [0.0000, 0.5000, 0.5000], [0.2254, 0.5000, 0.1911], [0.2417, 0.0000, 0.6641], [0.7583, 0.0000, 0.3359], [0.7746, 0.5000, 0.8089]]}



4.
{"formula": "NaPrSI", "functional": "PBE", "state": "optimized geometry", "lattice": [[2.0714, 1.1959, 7.8085], [-2.0714, 1.1959, 7.8085], [0.0000, -2.3918, 7.8085]], "species": ["Na", "Pr", "S", "I"], "fractional_positions": [[0.0000, 0.0000, 0.0000], [0.8004, 0.8004, 0.8004], [0.3973, 0.3973, 0.3973], [0.5651, 0.5651, 0.5651]]}



5.
{"formula": "NaPrSeI", "functional": "PBE", "state": "optimized geometry", "lattice": [[2.1181, 1.2229, 7.9456], [-2.1181, 1.2229, 7.9456], [0.0000, -2.4457, 7.9456]], "species": ["Na", "Pr", "Se", "I"], "fractional_positions": [[0.0000, 0.0000, 0.0000], [0.8065, 0.8065, 0.8065], [0.3999, 0.3999, 0.3999], [0.5680, 0.5680, 0.5680]]}



6.
{"formula": "NaPrTeI", "functional": "PBE", "state": "optimized geometry", "lattice": [[2.2121, 1.2772, 8.0481], [-2.2121, 1.2772, 8.0481], [0.0000, -2.5543, 8.0481]], "species": ["Na", "Pr", "Te", "I"], "fractional_positions": [[0.0000, 0.0000, 0.0000], [0.4834, 0.4834, 0.4834], [0.7389, 0.7389, 0.7389], [0.2387, 0.2387, 0.2387]]}



7.
{"formula": "NaPrTl2I6", "functional": "PBE", "state": "optimized geometry", "lattice": [[4.2762, 2.4689, 7.3175], [-4.2762, 2.4689, 7.3175], [0.0000, -4.9378, 7.3175]], "species": ["Na", "Pr", "Tl", "Tl", "I", "I", "I", "I", "I", "I"], "fractional_positions": [[0.0000, 0.0000, 0.0000], [0.4951, 0.4951, 0.4951], [0.2919, 0.2919, 0.2919], [0.7973, 0.7973, 0.7973], [0.1376, 0.7193, 0.3633], [0.2384, 0.6365, 0.8448], [0.3633, 0.1376, 0.7193], [0.6365, 0.8448, 0.2384], [0.7193, 0.3633, 0.1376], [0.8448, 0.2384, 0.6365]]}



8.
{"formula": "Na2Pt2I", "functional": "PBE", "state": "optimized geometry", "lattice": [[7.1254, 0.0000, 0.0000], [0.0000, 7.1254, 0.0000], [0.0000, 0.0000, 4.4942]], "species": ["Na", "Na", "Na", "Na", "Pt", "Pt", "Pt", "Pt", "I", "I"], "fractional_positions": [[0.1630, 0.3370, 0.0000], [0.3370, 0.8370, 0.0000], [0.6630, 0.1630, 0.0000], [0.8370, 0.6630, 0.0000], [0.1322, 0.6322, 0.5000], [0.3678, 0.1322, 0.5000], [0.6322, 0.8678, 0.5000], [0.8678, 0.3678, 0.5000], [0.0000, 0.0000, 0.5000], [0.5000, 0.5000, 0.5000]]}



Magnetic moment for the records above, in order: 0.954, 0.000, 0.000, 0.972, 0.971, 0.000, 0.000, 0.000 μB per formula unit
Energy relative to the elements, uncorrected for the records above, in order: -125.5, -97.9, -130.8, -136.1, -131.5, -112.9, -104.0, -7.7 kJ/mol of atoms
Calculated volume for the records above, in order: 414.3, 132.3, 284.8, 116.1, 123.5, 136.4, 463.6, 228.2 Å³/cell